An optimized crystal structure of Ca8Cd2Sb, computed with PBE.

Density of states at the Fermi level, states/eV/cell: 5.99
E_form (uncorrected), eV per formula unit: -3.142
Theoretical density, g/cm3: 3.0
Space-group type: Immm, No. 71
Size of the total moment, μB/cell: 0.00

a b c (Å): 9.4887 9.4887 9.4887
angles (deg): 148.09 125.12 64.90
Closest atoms and distances in Å follow each position.
Sites, in units of the cell vectors:
Ca 0.1177 0.3372 0.7805  3 Cd 3.27-3.40, 1 Sb 3.58, 3 Ca 3.59-3.65
Ca 0.1432 0.1432 0.0000  2 Sb 3.47, 8 Ca 3.55-3.65, 2 Cd 3.73
Ca 0.3092 0.0000 0.3092  7 Ca 3.34-3.70, 2 Cd 3.48
Ca 0.4433 0.6628 0.7805  3 Cd 3.27-3.40, 1 Sb 3.58, 3 Ca 3.59-3.65
Ca 0.5567 0.3372 0.2195  3 Cd 3.27-3.40, 1 Sb 3.58, 3 Ca 3.59-3.65
Ca 0.6908 0.0000 0.6908  7 Ca 3.34-3.70, 2 Cd 3.48
Ca 0.8568 0.8568 0.0000  2 Sb 3.47, 8 Ca 3.55-3.65, 2 Cd 3.73
Ca 0.8823 0.6628 0.2195  3 Cd 3.27-3.40, 1 Sb 3.58, 3 Ca 3.59-3.65
Cd 0.3094 0.8094 0.5000  8 Ca 3.27-3.48
Cd 0.6906 0.1906 0.5000  8 Ca 3.27-3.48
Sb 0.0000 0.5000 0.5000  12 Ca 3.47-3.76